This record from Alexandria describes an optimized crystal structure of KY2TlGe. The functional is PBE-GGA.

- E_form (eV per atom) = 1.289
- space-group type = No. 123
- Fermi-level density of states (states/eV per atom) = 1.162

Cell: 5.613 5.551 5.613 Å, 90.00 90.00 90.00°
Atoms (fractional coordinates):
Ge (0.500, 0.500, 0.500)
Y (0.500, 0.000, 0.000)
Tl (0.000, 0.500, 0.000)
K (0.000, 0.000, 0.000)
Y (0.000, 0.000, 0.500)



This record from Alexandria describes an optimized crystal structure of KV3Ge. The functional is PBE-GGA.

- E_form (eV per atom) = 1.085
- space-group type = No. 221
- Fermi-level density of states (states/eV per atom) = 1.516
- E above lowest polymorph (meV/atom) = 0.0

Cell: 5.008 5.008 5.008 Å, 90.00 90.00 90.00°
Last column: magnetic moment on the atom in μB.
Atoms (fractional coordinates):
V (0.500, 0.000, 0.000)  2.78
V (0.000, 0.500, 0.000)  2.78
V (0.000, 0.000, 0.500)  2.78
K (0.500, 0.500, 0.500)  0.09
Ge (0.000, 0.000, 0.000)  -0.09



This record from Alexandria describes an optimized crystal structure of K2VGe. The functional is PBE-GGA.

- E_form (eV per atom) = 0.547
- space-group type = No. 122
- Fermi-level density of states (states/eV per atom) = 1.648

Cell: 12.799 12.799 9.378 Å, 46.96 46.96 90.00°
Last column: magnetic moment on the atom in μB.
Atoms (fractional coordinates):
Ge (0.750, 0.250, 0.500)  -0.01
K (0.375, 0.183, 0.750)  0.00
K (0.933, 0.625, 0.250)  0.00
Ge (0.000, 0.000, 0.000)  -0.01
V (0.250, 0.750, 0.500)  2.70
K (0.817, 0.125, 0.250)  0.00
K (0.875, 0.067, 0.750)  0.00
V (0.500, 0.500, 0.000)  2.70



This record from Alexandria describes an optimized crystal structure of KVGe3. The functional is PBE-GGA.

- E_form (eV per atom) = -0.041
- space-group type = No. 221
- Fermi-level density of states (states/eV per atom) = 0.510
- E above lowest polymorph (meV/atom) = 0.0

Cell: 4.839 4.839 4.839 Å, 90.00 90.00 90.00°
Last column: magnetic moment on the atom in μB.
Atoms (fractional coordinates):
Ge (0.000, 0.500, 0.000)  -0.01
Ge (0.000, 0.000, 0.500)  -0.01
V (0.000, 0.000, 0.000)  0.10
Ge (0.500, 0.000, 0.000)  -0.01
K (0.500, 0.500, 0.500)  0.00



The calculation returns the following magnetic moment values, one per record and in order: 0.00; 11.03; 6.94; 0.08 μB per cell.